Below is an optimized crystal structure of SrNpMoO6, with properties calculated at the PBE with a Hubbard U level.

Cell lengths 5.1510, 5.1510, 10.1245 Å; angles 90.00, 90.00, 90.00 degrees
Site moments in Bohr magnetons follow the coordinates.
Atoms (fractional coordinates):
O 0.8317 0.1683 0.4993  -0.04
O 0.2973 0.2973 0.6948  -0.06
O 0.2027 0.7973 0.1948  -0.06
O 0.1683 0.8317 0.4993  -0.04
O 0.7985 0.2015 0.8033  -0.04
O 0.7015 0.7015 0.3033  -0.04
O 0.2015 0.7985 0.8033  -0.04
O 0.2985 0.2985 0.3033  -0.04
O 0.7973 0.2027 0.1948  -0.06
O 0.7027 0.7027 0.6948  -0.06
O 0.6683 0.6683 0.9993  -0.04
O 0.3317 0.3317 0.9993  -0.04
Mo 0.0000 0.0000 0.6723  1.77
Mo 0.5000 0.5000 0.1723  1.77
Np 0.5000 0.5000 0.8344  1.46
Np 0.0000 0.0000 0.3344  1.46
Sr 0.5000 0.5000 0.4986  0.00
Sr 0.0000 0.0000 0.9986  0.00

Values from the calculation:
Calculated density = 6.39 g/cm3
Raw total energy = -8.17 eV/atom
Crystal system = tetragonal
V = 268.63 Å³/cell